A.
Here is a relaxed ZrRuCl2 crystal from the Alexandria database. Energies are from GGA-PBEsol.

Lattice parameters (Å, degrees): 4.063 4.068 5.059 113.02 112.98 91.58
Fractional positions:
1 Cl 0.000 0.000 0.500
2 Zr 0.000 0.500 0.000
3 Ru 0.500 0.000 0.000
4 Cl 0.500 0.500 0.500

Computed properties:
The calculation puts the size of the total moment at 0.000 μB per atom. For the volume, the calculation gives 17.3 Å³/atom.

***

B.
Here is a relaxed ZrRuCl2 crystal from the Alexandria database. Energies are from GGA-PBEsol.

Lattice parameters (Å, degrees): 3.693 3.693 5.335 110.25 110.25 90.00
Fractional positions:
1 Cl 0.750 0.250 0.500
2 Zr 0.250 0.750 0.500
3 Ru 0.500 0.500 0.000
4 Cl 0.000 0.000 0.000

Computed properties:
The calculation puts the size of the total moment at 0.000 μB per atom. For the volume, the calculation gives 15.9 Å³/atom.

***

Short version: A is the most stable of them.

***

A.
Here is a relaxed ZrRuCl2 crystal from the Alexandria database. Energies are from GGA-PBEsol.

Lattice parameters (Å, degrees): 2.981 5.227 5.227 61.06 73.43 73.43
Fractional positions:
1 Cl 0.741 0.259 0.259
2 Zr 0.500 0.000 0.000
3 Cl 0.259 0.741 0.741
4 Ru 0.000 0.500 0.500

Computed properties:
The calculation puts the size of the total moment at 0.278 μB per atom. For the volume, the calculation gives 16.8 Å³/atom.

***

B.
Here is a relaxed ZrRuCl2 crystal from the Alexandria database. Energies are from GGA-PBEsol.

Lattice parameters (Å, degrees): 3.087 3.087 8.414 79.43 79.43 60.00
Fractional positions:
1 Cl 0.908 0.908 0.275
2 Ru 0.000 0.000 0.000
3 Zr 0.500 0.500 0.500
4 Cl 0.092 0.092 0.725

Computed properties:
The calculation puts the size of the total moment at 0.001 μB per atom. For the volume, the calculation gives 17.0 Å³/atom.

***

Short version: B is the most stable of them.

***

A.
Here is a relaxed Ta2SCl crystal from the Alexandria database. Energies are from GGA-PBEsol.

Lattice parameters (Å, degrees): 5.634 5.634 5.634 106.18 106.18 116.27
Fractional positions:
1 Ta 0.625 0.152 0.027
2 Ta 0.402 0.375 0.527
3 Cl 0.250 0.750 0.500
4 S 0.750 0.250 0.500
5 Ta 0.848 0.875 0.473
6 S 0.500 0.500 0.000
7 Cl 0.000 0.000 0.000
8 Ta 0.125 0.598 0.973

Computed properties:
The calculation puts the size of the total moment at 0.000 μB per atom. For the volume, the calculation gives 17.0 Å³/atom.

***

B.
Here is a relaxed Ta2SCl crystal from the Alexandria database. Energies are from GGA-PBEsol.

Lattice parameters (Å, degrees): 4.339 4.339 4.339 60.00 60.00 60.00
Fractional positions:
1 Ta 0.250 0.250 0.250
2 S 0.000 0.000 0.000
3 Cl 0.500 0.500 0.500
4 Ta 0.750 0.750 0.750

Computed properties:
The calculation puts the size of the total moment at 0.000 μB per atom. For the volume, the calculation gives 14.4 Å³/atom.

***

Short version: B is the most stable of them.

***

A.
Here is a relaxed Sc2SbCl crystal from the Alexandria database. Energies are from GGA-PBEsol.

Lattice parameters (Å, degrees): 3.341 3.341 7.397 90.00 90.00 101.16
Fractional positions:
1 Sc 0.000 0.000 0.744
2 Sc 0.000 0.000 0.256
3 Sb 0.500 0.500 0.000
4 Cl 0.500 0.500 0.500

Computed properties:
The calculation puts the size of the total moment at 0.000 μB per atom. For the volume, the calculation gives 20.2 Å³/atom.

***

B.
Here is a relaxed Sc2SbCl crystal from the Alexandria database. Energies are from GGA-PBEsol.

Lattice parameters (Å, degrees): 3.454 3.823 6.896 106.09 104.50 90.00
Fractional positions:
1 Cl 0.542 0.542 0.084
2 Sc 0.962 0.962 0.924
3 Sc 0.198 0.698 0.395
4 Sb 0.798 0.298 0.596

Computed properties:
The calculation puts the size of the total moment at 0.093 μB per atom. For the volume, the calculation gives 21.1 Å³/atom.

***

Short version: B is the most stable of them.

***

A.
Here is a relaxed ScSbCl2 crystal from the Alexandria database. Energies are from GGA-PBEsol.

Lattice parameters (Å, degrees): 5.900 6.563 6.563 78.35 63.29 63.29
Fractional positions:
1 Sb 0.750 0.500 0.500
2 Cl 0.515 0.110 0.610
3 Sc 0.250 0.500 0.500
4 Cl 0.875 0.610 0.890
5 Cl 0.235 0.890 0.390
6 Sc 0.500 0.000 0.000
7 Sb 0.000 0.000 0.000
8 Cl 0.375 0.390 0.110

Computed properties:
The calculation puts the size of the total moment at 0.000 μB per atom. For the volume, the calculation gives 25.3 Å³/atom.

***

B.
Here is a relaxed ScSbCl2 crystal from the Alexandria database. Energies are from GGA-PBEsol.

Lattice parameters (Å, degrees): 4.437 4.437 4.581 90.00 90.00 90.95
Fractional positions:
1 Sb 0.500 0.500 0.500
2 Sc 0.000 0.000 0.500
3 Cl 0.223 0.777 0.000
4 Cl 0.777 0.223 0.000

Computed properties:
The calculation puts the size of the total moment at 0.000 μB per atom. For the volume, the calculation gives 22.5 Å³/atom.

***

C.
Here is a relaxed ScSbCl2 crystal from the Alexandria database. Energies are from GGA-PBEsol.

Lattice parameters (Å, degrees): 3.490 3.490 7.030 90.00 90.00 90.00
Fractional positions:
1 Sb 0.000 0.000 0.510
2 Cl 0.500 0.500 0.199
3 Cl 0.000 0.000 0.952
4 Sc 0.500 0.500 0.838

Computed properties:
The calculation puts the size of the total moment at 0.000 μB per atom. For the volume, the calculation gives 21.4 Å³/atom.

***

D.
Here is a relaxed ScSbCl2 crystal from the Alexandria database. Energies are from GGA-PBEsol.

Lattice parameters (Å, degrees): 3.336 3.336 10.422 80.79 80.79 60.00
Fractional positions:
1 Sc 0.000 0.000 0.000
2 Sb 0.500 0.500 0.500
3 Cl 0.719 0.719 0.843
4 Cl 0.281 0.281 0.157

Computed properties:
The calculation puts the size of the total moment at 0.000 μB per atom. For the volume, the calculation gives 24.7 Å³/atom.

***

Short version: D is the most stable of them.

***

A.
Here is a relaxed ScSb2Cl crystal from the Alexandria database. Energies are from GGA-PBEsol.

Lattice parameters (Å, degrees): 4.114 4.114 5.491 90.00 90.00 90.00
Fractional positions:
1 Sc 0.500 0.500 0.500
2 Sb 0.000 0.500 0.000
3 Cl 0.000 0.000 0.500
4 Sb 0.500 0.000 0.000

Computed properties:
The calculation puts the size of the total moment at 0.000 μB per atom. For the volume, the calculation gives 23.2 Å³/atom.

***

B.
Here is a relaxed ScSb2Cl crystal from the Alexandria database. Energies are from GGA-PBEsol.

Lattice parameters (Å, degrees): 5.088 5.088 5.088 60.00 60.00 60.00
Fractional positions:
1 Cl 0.250 0.250 0.250
2 Sc 0.500 0.500 0.500
3 Sb 0.000 0.000 0.000
4 Sb 0.750 0.750 0.750

Computed properties:
The calculation puts the size of the total moment at 0.002 μB per atom. For the volume, the calculation gives 23.3 Å³/atom.

***

Short version: A is the most stable of them.